Record 1
{"formula": "FeCoS2N", "functional": "GGA-PBE", "state": "relaxed", "mass_density_g_cm3": 4.4, "magmom_total_mub_per_atom": 0.0036, "spacegroup": "P4/mmm, No. 123", "e_above_lowest_polymorph_mev_per_atom": 238, "lattice": [[4.665, 0.000, 0.000], [0.000, 4.665, 0.000], [0.000, 0.000, 3.345]], "species": ["Fe", "Co", "S", "S", "N"], "fractional_positions": [[0.000, 0.000, 0.000], [0.500, 0.500, 0.500], [0.000, 0.500, 0.500], [0.500, 0.000, 0.500], [0.500, 0.500, 0.000]]}

=====

Record 2
{"formula": "FeCoS2N", "functional": "GGA-PBE", "state": "relaxed", "mass_density_g_cm3": 4.5, "magmom_total_mub_per_atom": 0.3501, "spacegroup": "P4/mmm, No. 123", "e_above_lowest_polymorph_mev_per_atom": 0, "lattice": [[4.611, 0.000, 0.000], [0.000, 4.611, 0.000], [0.000, 0.000, 3.359]], "species": ["Fe", "Co", "S", "S", "N"], "fractional_positions": [[0.000, 0.000, 0.000], [0.500, 0.500, 0.500], [0.000, 0.500, 0.000], [0.500, 0.000, 0.000], [0.000, 0.000, 0.500]]}

=====

Record 3
{"formula": "FeCo2SbN", "functional": "GGA-PBE", "state": "relaxed", "mass_density_g_cm3": 8.7, "magmom_total_mub_per_atom": 0.7882, "e_tot_ry_per_atom": -0.51127, "spacegroup": "P4/mmm, No. 123", "lattice": [[3.885, 0.000, 0.000], [0.000, 3.885, 0.000], [0.000, 0.000, 3.936]], "species": ["Fe", "Co", "Co", "Sb", "N"], "fractional_positions": [[0.000, 0.000, 0.000], [0.000, 0.500, 0.500], [0.500, 0.000, 0.500], [0.500, 0.500, 0.000], [0.000, 0.000, 0.500]]}

=====

Record 4
{"formula": "FeCoSe2N", "functional": "GGA-PBE", "state": "relaxed", "mass_density_g_cm3": 5.9, "magmom_total_mub_per_atom": 0.6703, "e_tot_ry_per_atom": -0.41275, "spacegroup": "P4/mmm, No. 123", "lattice": [[4.921, 0.000, 0.000], [0.000, 4.921, 0.000], [0.000, 0.000, 3.347]], "species": ["Fe", "Co", "Se", "Se", "N"], "fractional_positions": [[0.000, 0.000, 0.000], [0.500, 0.500, 0.500], [0.000, 0.500, 0.500], [0.500, 0.000, 0.500], [0.500, 0.500, 0.000]]}

=====

Record 5
{"formula": "FeCoSeN2", "functional": "GGA-PBE", "state": "relaxed", "mass_density_g_cm3": 5.5, "magmom_total_mub_per_atom": 0.3155, "spacegroup": "P4/mmm, No. 123", "e_above_lowest_polymorph_mev_per_atom": 0, "lattice": [[3.513, 0.000, 0.000], [0.000, 3.513, 0.000], [0.000, 0.000, 5.456]], "species": ["Fe", "Co", "Se", "N", "N"], "fractional_positions": [[0.000, 0.000, 0.000], [0.500, 0.500, 0.500], [0.000, 0.000, 0.500], [0.000, 0.500, 0.000], [0.500, 0.000, 0.000]]}

=====

Record 6
{"formula": "FeCoSeN2", "functional": "GGA-PBE", "state": "relaxed", "mass_density_g_cm3": 4.7, "magmom_total_mub_per_atom": 0.5910, "spacegroup": "P4/mmm, No. 123", "e_above_lowest_polymorph_mev_per_atom": 169, "lattice": [[3.490, 0.000, 0.000], [0.000, 3.490, 0.000], [0.000, 0.000, 6.493]], "species": ["Fe", "Co", "Se", "N", "N"], "fractional_positions": [[0.000, 0.000, 0.000], [0.500, 0.500, 0.500], [0.500, 0.500, 0.000], [0.000, 0.500, 0.500], [0.500, 0.000, 0.500]]}

=====

Record 7
{"formula": "Fe2CoSnN", "functional": "GGA-PBE", "state": "relaxed", "mass_density_g_cm3": 8.6, "magmom_total_mub_per_atom": 0.7909, "e_tot_ry_per_atom": -0.53664, "spacegroup": "P4/mmm, No. 123", "lattice": [[3.859, 0.000, 0.000], [0.000, 3.859, 0.000], [0.000, 0.000, 3.919]], "species": ["Fe", "Fe", "Co", "Sn", "N"], "fractional_positions": [[0.000, 0.500, 0.000], [0.500, 0.000, 0.000], [0.000, 0.000, 0.500], [0.500, 0.500, 0.500], [0.000, 0.000, 0.000]]}

=====

Record 8
{"formula": "SrFeCo2N", "functional": "GGA-PBE", "state": "relaxed", "mass_density_g_cm3": 5.8, "magmom_total_mub_per_atom": 0.8627, "e_tot_ry_per_atom": -0.43436, "spacegroup": "P4/mmm, No. 123", "lattice": [[4.659, 0.000, 0.000], [0.000, 4.659, 0.000], [0.000, 0.000, 3.604]], "species": ["Sr", "Fe", "Co", "Co", "N"], "fractional_positions": [[0.000, 0.000, 0.000], [0.500, 0.500, 0.500], [0.000, 0.500, 0.500], [0.500, 0.000, 0.500], [0.500, 0.500, 0.000]]}

=====

Record 9
{"formula": "Fe2CoTcN", "functional": "GGA-PBE", "state": "relaxed", "mass_density_g_cm3": 8.7, "magmom_total_mub_per_atom": 0.0005, "e_tot_ry_per_atom": -0.61630, "spacegroup": "P4/mmm, No. 123", "lattice": [[3.697, 0.000, 0.000], [0.000, 3.697, 0.000], [0.000, 0.000, 3.956]], "species": ["Fe", "Fe", "Co", "Tc", "N"], "fractional_positions": [[0.000, 0.500, 0.000], [0.500, 0.000, 0.000], [0.000, 0.000, 0.500], [0.500, 0.500, 0.500], [0.500, 0.500, 0.000]]}

=====

Record 10
{"formula": "FeCoTe2N", "functional": "GGA-PBE", "state": "relaxed", "mass_density_g_cm3": 7.1, "magmom_total_mub_per_atom": 0.2868, "spacegroup": "P4/mmm, No. 123", "e_above_lowest_polymorph_mev_per_atom": 0, "lattice": [[5.161, 0.000, 0.000], [0.000, 5.161, 0.000], [0.000, 0.000, 3.351]], "species": ["Fe", "Co", "Te", "Te", "N"], "fractional_positions": [[0.000, 0.000, 0.000], [0.500, 0.500, 0.500], [0.000, 0.500, 0.000], [0.500, 0.000, 0.000], [0.000, 0.000, 0.500]]}

=====

Record 11
{"formula": "FeCoTe2N", "functional": "GGA-PBE", "state": "relaxed", "mass_density_g_cm3": 7.3, "magmom_total_mub_per_atom": 0.0082, "spacegroup": "P4/mmm, No. 123", "e_above_lowest_polymorph_mev_per_atom": 211, "lattice": [[5.131, 0.000, 0.000], [0.000, 5.131, 0.000], [0.000, 0.000, 3.333]], "species": ["Fe", "Co", "Te", "Te", "N"], "fractional_positions": [[0.000, 0.000, 0.000], [0.500, 0.500, 0.500], [0.000, 0.500, 0.500], [0.500, 0.000, 0.500], [0.500, 0.500, 0.000]]}

=====

Record 12
{"formula": "FeCo2TeN", "functional": "GGA-PBE", "state": "relaxed", "mass_density_g_cm3": 5.9, "magmom_total_mub_per_atom": 1.2567, "e_tot_ry_per_atom": -0.36433, "spacegroup": "P4/mmm, No. 123", "lattice": [[4.349, 0.000, 0.000], [0.000, 4.349, 0.000], [0.000, 0.000, 4.659]], "species": ["Fe", "Co", "Co", "Te", "N"], "fractional_positions": [[0.000, 0.000, 0.000], [0.000, 0.500, 0.000], [0.500, 0.000, 0.000], [0.000, 0.000, 0.500], [0.500, 0.500, 0.500]]}